# 1
A geometry-optimized DyYGa2Cu2 structure, computed with GGA-PBE.

The polymorph energy (0 for the lowest one) comes out at 0.000 eV/atom. As for the final energy: -4.61 eV/atom.

The space group is P-6m2 (No. 187) and the conventional cell measures 4.3593, 4.3593 and 7.0423 Å, with angles of 90.00, 90.00 and 120.00 degrees. The distinct sites, in fractional coordinates, are Dy at (0.0000, 0.0000, 0.0000), Y at (0.0000, 0.0000, 0.5000), Ga at (0.3333, 0.6667, 0.2339) and Cu at (0.6667, 0.3333, 0.2568).



# 2
A geometry-optimized DyYGa4Cu2 structure, computed with GGA-PBE.

As for the final energy: -4.34 eV/atom.

The space group is Amm2 (No. 38) and the conventional cell measures 6.553, 4.335 and 10.110 Å, with angles of 90.00, 90.00 and 90.00 degrees. The distinct sites, in fractional coordinates, are Dy at (0.000, 0.000, 0.000), Y at (0.500, 0.000, 0.180), Ga at (0.197, 0.000, 0.716), Ga at (0.302, 0.000, 0.464), Cu at (0.000, 0.000, 0.291) and Cu at (0.500, 0.000, 0.889).



# 3
A geometry-optimized DyYGa2Cu2 structure, computed with GGA-PBE.

The polymorph energy (0 for the lowest one) comes out at 0.002 eV/atom. As for the final energy: -4.61 eV/atom.

The space group is P-6m2 (No. 187) and the conventional cell measures 4.3504, 4.3504 and 7.0301 Å, with angles of 90.00, 90.00 and 120.00 degrees. The distinct sites, in fractional coordinates, are Dy at (0.0000, 0.0000, 0.0000), Y at (0.0000, 0.0000, 0.5000), Ga at (0.3333, 0.6667, 0.2659) and Cu at (0.6667, 0.3333, 0.2430).



What did the second record say?
A geometry-optimized DyYGa4Cu2 structure, computed with GGA-PBE.

As for the final energy: -4.34 eV/atom.

The space group is Amm2 (No. 38) and the conventional cell measures 6.553, 4.335 and 10.110 Å, with angles of 90.00, 90.00 and 90.00 degrees. The distinct sites, in fractional coordinates, are Dy at (0.000, 0.000, 0.000), Y at (0.500, 0.000, 0.180), Ga at (0.197, 0.000, 0.716), Ga at (0.302, 0.000, 0.464), Cu at (0.000, 0.000, 0.291) and Cu at (0.500, 0.000, 0.889).